## DyScSb (PBE-GGA)

Data for DyScSb after structural relaxation.

Unit cell a=4.3513 b=4.3513 c=8.1118 alpha=90.00 beta=90.00 gamma=90.00
Sites, in units of the cell vectors:
Dy1 0.2500 0.7500 0.0000
Dy2 0.7500 0.2500 0.0000
Sc1 0.2500 0.2500 0.3480
Sc2 0.7500 0.7500 0.6520
Sb1 0.2500 0.2500 0.7069
Sb2 0.7500 0.7500 0.2931

Values from the calculation:
For the total energy, the calculation gives -34.2 eV per cell.